Entry 1:
{"formula": "La2PmIn", "functional": "PBE", "state": "relaxed", "cell": [[5.1201, 0.0000, 0.0000], [0.0000, 4.9780, 0.0000], [0.0000, 0.0000, 4.9780]], "species": ["La", "La", "Pm", "In"], "frac_coords": [[0.0000, 0.5000, 0.0000], [0.0000, 0.0000, 0.5000], [0.5000, 0.0000, 0.0000], [0.5000, 0.5000, 0.5000]], "energy_ev_per_atom": -4.625, "ef_mev_per_atom": -289, "density_g_cm3": 7.0, "dos_at_fermi_per_ev_cell": 6.51, "space_group": "P4/mmm (123)", "magmom_total_mub_per_fu": 0.0}

=====

Entry 2:
{"formula": "CaLa2CdRh", "functional": "PBE", "state": "relaxed", "cell": [[-4.3478, 3.3122, -0.4676], [-2.0685, -2.0594, 4.6446], [2.6312, 3.8610, 2.8838]], "species": ["La", "La", "Ca", "Cd", "Rh"], "frac_coords": [[0.5000, 0.0000, 0.0000], [0.0000, 0.5000, 0.0000], [0.5000, 0.5000, 0.5000], [0.0000, 0.0000, 0.5000], [0.0000, 0.0000, 0.0000]], "energy_ev_per_atom": -4.348, "ef_mev_per_atom": -323, "density_g_cm3": 5.4, "dos_at_fermi_per_ev_cell": 4.00, "space_group": "P4/mmm (123)", "magmom_total_mub_per_fu": 0.0}

=====

Entry 3:
{"formula": "AcTmSiAg", "functional": "PBE", "state": "relaxed", "cell": [[5.2738, 0.0000, 0.0000], [2.6369, 4.5672, 0.0000], [2.6369, 1.5224, 4.3060]], "species": ["Tm", "Ac", "Si", "Ag"], "frac_coords": [[0.5000, 0.5000, 0.5000], [0.0000, 0.0000, 0.0000], [0.7500, 0.7500, 0.7500], [0.2500, 0.2500, 0.2500]], "energy_ev_per_atom": -4.527, "density_g_cm3": 8.5, "dos_at_fermi_per_ev_cell": 3.28, "space_group": "F-43m (216)", "magmom_total_mub_per_fu": 0.0, "formation_energy_uncorrected_ev_per_atom": -0.3137}

=====

Entry 4:
{"formula": "K3PdN", "functional": "PBE", "state": "relaxed", "cell": [[5.4286, 0.0000, 0.0000], [0.0000, 5.4286, 0.0000], [0.0000, 0.0000, 5.4286]], "species": ["Pd", "K", "K", "K", "N"], "frac_coords": [[0.5000, 0.5000, 0.5000], [0.5000, 0.0000, 0.0000], [0.0000, 0.5000, 0.0000], [0.0000, 0.0000, 0.5000], [0.0000, 0.0000, 0.0000]], "energy_ev_per_atom": -2.786, "density_g_cm3": 2.5, "dos_at_fermi_per_ev_cell": 2.66, "space_group": "Pm-3m (221)", "magmom_total_mub_per_fu": 2.0, "formation_energy_uncorrected_ev_per_atom": 0.5759}

=====

Entry 5:
{"formula": "Pm3Hg3Pb", "functional": "PBE", "state": "relaxed", "cell": [[-4.9804, 0.3537, -0.9264], [-1.0782, -9.1464, 2.3036], [-0.7670, 6.7001, 6.6817]], "species": ["Pm", "Pm", "Pm", "Pm", "Pm", "Pm", "Hg", "Hg", "Hg", "Hg", "Hg", "Hg", "Pb", "Pb"], "frac_coords": [[0.7500, 0.6590, 0.5607], [0.2500, 0.5607, 0.9017], [0.2500, 0.0983, 0.6590], [0.2500, 0.3410, 0.4393], [0.7500, 0.4393, 0.0983], [0.7500, 0.9017, 0.3410], [0.2500, 0.9655, 0.1906], [0.7500, 0.1906, 0.2251], [0.7500, 0.0345, 0.8094], [0.2500, 0.8094, 0.7749], [0.2500, 0.2251, 0.0345], [0.7500, 0.7749, 0.9655], [0.2500, 0.6667, 0.3333], [0.7500, 0.3333, 0.6667]], "energy_ev_per_atom": -3.111, "ef_mev_per_atom": -416, "density_g_cm3": 10.4, "dos_at_fermi_per_ev_cell": 9.84, "space_group": "P6_3/m (176)", "magmom_total_mub_per_fu": 0.0}

=====

Entry 6:
{"formula": "Sr3NbGe", "functional": "PBE", "state": "relaxed", "cell": [[5.7763, 0.0000, 0.0000], [0.0000, 5.7763, 0.0000], [0.0000, 0.0000, 5.7763]], "species": ["Sr", "Sr", "Sr", "Nb", "Ge"], "frac_coords": [[0.5000, 0.0000, 0.0000], [0.0000, 0.5000, 0.0000], [0.0000, 0.0000, 0.5000], [0.0000, 0.0000, 0.0000], [0.5000, 0.5000, 0.5000]], "energy_ev_per_atom": -2.957, "ef_mev_per_atom": 989, "density_g_cm3": 3.7, "dos_at_fermi_per_ev_cell": 7.61, "space_group": "Pm-3m (221)", "magmom_total_mub_per_fu": 0.0}

=====

Entry 7:
{"formula": "KY2Cl", "functional": "PBE", "state": "relaxed", "cell": [[3.6623, -0.0089, 0.0000], [-1.9077, 3.1262, 0.0000], [0.0000, 0.0000, 11.7546]], "species": ["Y", "Y", "K", "Cl"], "frac_coords": [[0.0000, 0.0000, 0.4448], [0.0000, 0.0000, 0.0552], [0.5000, 0.5000, 0.7500], [0.5000, 0.5000, 0.2500]], "energy_ev_per_atom": -4.272, "density_g_cm3": 3.1, "dos_at_fermi_per_ev_cell": 6.23, "space_group": "Cmmm (65)", "magmom_total_mub_per_fu": 0.0, "formation_energy_uncorrected_ev_per_atom": -0.3038}

=====

Entry 8:
{"formula": "Na3PmSe4O12", "functional": "PBE", "state": "relaxed", "cell": [[7.1541, -0.1604, -0.2228], [-1.8794, 6.9047, -0.2228], [-1.8794, -2.4030, 6.4768]], "species": ["O", "O", "O", "O", "O", "O", "O", "O", "O", "O", "O", "O", "Se", "Se", "Se", "Se", "Na", "Na", "Na", "Pm"], "frac_coords": [[0.2077, 0.3358, 0.0152], [0.5000, 0.3572, 0.6428], [0.9309, 0.5000, 0.0691], [0.3572, 0.6428, 0.5000], [0.6428, 0.5000, 0.3572], [0.3358, 0.0152, 0.2077], [0.5000, 0.0691, 0.9309], [0.0691, 0.9309, 0.5000], [0.9848, 0.6642, 0.7923], [0.7923, 0.9848, 0.6642], [0.6642, 0.7923, 0.9848], [0.0152, 0.2077, 0.3358], [0.5000, 0.5000, 0.5000], [0.0773, 0.5000, 0.9227], [0.5000, 0.9227, 0.0773], [0.9227, 0.0773, 0.5000], [0.5612, 0.4388, 0.0000], [0.0000, 0.5612, 0.4388], [0.4388, 0.0000, 0.5612], [0.0000, 0.0000, 0.0000]], "energy_ev_per_atom": -5.153, "density_g_cm3": 3.9, "dos_at_fermi_per_ev_cell": 8.17, "space_group": "R32 (155)", "magmom_total_mub_per_fu": 0.0, "formation_energy_uncorrected_ev_per_atom": -1.0453}

=====

Entry 9:
{"formula": "ZnCu2Ni", "functional": "PBE", "state": "relaxed", "cell": [[-0.5035, 0.6698, -2.5159], [-1.5550, -2.1327, -0.2560], [-5.4078, 3.6949, 2.0661]], "species": ["Ni", "Cu", "Cu", "Zn"], "frac_coords": [[0.0000, 0.0000, 0.4967], [0.0000, 0.0000, 0.0064], [0.5000, 0.5000, 0.2563], [0.5000, 0.5000, 0.7406]], "energy_ev_per_atom": -3.890, "ef_mev_per_atom": -78, "density_g_cm3": 8.6, "dos_at_fermi_per_ev_cell": 1.73, "space_group": "P4mm (99)", "magmom_total_mub_per_fu": 0.0}

=====

Entry 10:
{"formula": "ZrMo2Br", "functional": "PBE", "state": "relaxed", "cell": [[5.5218, 0.0026, -0.0343], [4.5729, 3.0950, -0.0343], [0.8958, 0.2749, 4.4246]], "species": ["Br", "Zr", "Mo", "Mo"], "frac_coords": [[0.2500, 0.2500, 0.2500], [0.7500, 0.7500, 0.7500], [0.0055, 0.0055, 0.9588], [0.4945, 0.4945, 0.5412]], "energy_ev_per_atom": -7.596, "density_g_cm3": 8.0, "dos_at_fermi_per_ev_cell": 2.99, "space_group": "C2/m (12)", "magmom_total_mub_per_fu": 0.0, "formation_energy_uncorrected_ev_per_atom": 0.3744}

=====

Entry 11:
{"formula": "RbMg2Te2", "functional": "PBE", "state": "relaxed", "cell": [[8.5841, 0.0000, 0.0000], [0.0000, 8.5841, 0.0000], [0.0000, 0.0000, 3.9814]], "species": ["Te", "Te", "Te", "Te", "Mg", "Mg", "Mg", "Mg", "Rb", "Rb"], "frac_coords": [[0.6708, 0.8292, 0.5000], [0.8292, 0.3292, 0.5000], [0.3292, 0.1708, 0.5000], [0.1708, 0.6708, 0.5000], [0.8775, 0.6225, 0.0000], [0.1225, 0.3775, 0.0000], [0.3775, 0.8775, 0.0000], [0.6225, 0.1225, 0.0000], [0.0000, 0.0000, 0.0000], [0.5000, 0.5000, 0.0000]], "energy_ev_per_atom": -2.636, "density_g_cm3": 4.4, "dos_at_fermi_per_ev_cell": 2.83, "space_group": "P4/mbm (127)", "magmom_total_mub_per_fu": 0.0, "formation_energy_uncorrected_ev_per_atom": -0.5477}

=====

Entry 12:
{"formula": "Pm2Tm4Th", "functional": "PBE", "state": "relaxed", "cell": [[-2.4563, 5.1413, 3.2785], [0.5668, -1.2025, 8.9009], [6.4337, 5.9257, 2.1183]], "species": ["Tm", "Tm", "Tm", "Tm", "Tm", "Tm", "Tm", "Tm", "Pm", "Pm", "Pm", "Pm", "Th", "Th"], "frac_coords": [[0.1408, 0.8511, 0.8673], [0.7591, 0.7613, 0.2613], [0.8592, 0.1489, 0.1327], [0.2183, 0.7613, 0.2613], [0.8592, 0.6327, 0.6489], [0.7817, 0.2387, 0.7387], [0.1408, 0.3673, 0.3511], [0.2409, 0.2387, 0.7387], [0.7253, 0.0247, 0.5247], [0.5000, 0.5000, 0.5000], [0.5000, 0.0000, 0.0000], [0.2747, 0.9753, 0.4753], [0.0000, 0.5000, 0.0000], [0.5000, 0.5000, 0.0000]], "energy_ev_per_atom": -4.675, "ef_mev_per_atom": 297, "density_g_cm3": 8.6, "dos_at_fermi_per_ev_cell": 22.96, "space_group": "Imma (74)", "magmom_total_mub_per_fu": 0.0}